Entry 1:
Computed, not measured: an optimized crystal structure of YZnF3 at the PBE level of DFT.

Cell: 4.2322 4.2322 4.2322 Å, 90.00 90.00 90.00°
Last column: magnetic moment on the atom in μB.
Positions (direct):
Zn  0.0000  0.0000  0.0000  0.01
F  0.0000  0.0000  0.5000  0.02
F  0.5000  0.0000  0.0000  0.02
F  0.0000  0.5000  0.0000  0.03
Y  0.5000  0.5000  0.5000  0.67

Output
The value obtained for the energy relative to the lowest polymorph listed for this composition is 1050 meV/atom. Its space-group type is No. 221. As for the formation energy without anion corrections: -1.93 eV/atom.

***

Entry 2:
Computed, not measured: an optimized crystal structure of Hf2CuAsPt at the PBE level of DFT.

Cell: 5.0079 4.6466 5.0079 Å, 90.00 90.00 90.00°
Positions (direct):
Cu  0.0000  0.5000  0.0000
As  0.5000  0.5000  0.5000
Hf  0.5000  0.0000  0.0000
Pt  0.0000  0.0000  0.0000
Hf  0.0000  0.0000  0.5000

Output
Its space-group type is No. 123. The energy relative to the elements is 1.20 eV/f.u.

***

Entry 3:
Computed, not measured: an optimized crystal structure of Ho2H2Ru at the PBE level of DFT.

Cell: 3.3729 3.3729 6.5972 Å, 90.00 90.00 90.00°
Positions (direct):
Ho  0.5000  0.5000  0.2564
H  0.0000  0.5000  0.5000
H  0.5000  0.0000  0.5000
Ru  0.0000  0.0000  0.0000
Ho  0.5000  0.5000  0.7436

Output
Its space-group type is No. 123. As for the electronic total energy: -5.437 eV/atom.